(1)
This record from Alexandria via LeMat-Bulk describes an optimized crystal structure of Er12Cu5Pb. The functional is PBE.

Summary:
As for the crystal system: orthorhombic. The volume comes out at 25.090 A^3/atom. The energy relative to the elements is -0.22 eV per atom. Its total magnetization is 0.0 Bohr magnetons per cell.

Structure (CIF):
```
data_Er12Cu5Pb
_chemical_formula_sum 'Er24 Cu10 Pb2'
_space_group_name_H-M_alt 'I m m m'
_space_group_IT_number 71
_space_group_name_Hall '-I 2 2'
_cell_length_a 9.3604
_cell_length_b 9.5472
_cell_length_c 10.1073
_cell_angle_alpha 90.00
_cell_angle_beta 90.00
_cell_angle_gamma 90.00
loop_
_atom_site_label
_atom_site_type_symbol
_atom_site_fract_x
_atom_site_fract_y
_atom_site_fract_z
Er1 Er 0.0000 0.1927 0.2263
Er2 Er 0.1950 0.5000 0.1809
Er3 Er 0.2201 0.3200 0.5000
Cu1 Cu 0.0000 0.0000 0.0000
Cu2 Cu 0.0000 0.3569 0.0000
Cu3 Cu 0.0000 0.5000 0.3796
Pb1 Pb 0.0000 0.0000 0.5000
```

(2)
This record from Alexandria via LeMat-Bulk describes an optimized crystal structure of Cs3RbAu. The functional is PBE.

Summary:
As for the crystal system: trigonal. The volume comes out at 83.765 A^3/atom. The value obtained for the offset from the most stable computed form is 0.0600 eV/atom. The energy relative to the elements is -0.09 eV per atom. Its total magnetization is 0.0 Bohr magnetons per cell.

Structure (CIF):
```
data_Cs3RbAu
_chemical_formula_sum 'Cs9 Rb3 Au3'
_space_group_name_H-M_alt 'R 3 m'
_space_group_IT_number 160
_space_group_name_Hall 'R 3 -2"'
_cell_length_a 14.4314
_cell_length_b 14.4314
_cell_length_c 6.9664
_cell_angle_alpha 90.00
_cell_angle_beta 90.00
_cell_angle_gamma 120.00
loop_
_atom_site_label
_atom_site_type_symbol
_atom_site_fract_x
_atom_site_fract_y
_atom_site_fract_z
Cs1 Cs 0.0509 0.5254 0.0000
Rb1 Rb 0.0000 0.0000 0.8942
Au1 Au 0.0000 0.0000 0.4017
```

(3)
This record from Alexandria via LeMat-Bulk describes an optimized crystal structure of Ba6SrCa8. The functional is PBE.

Summary:
As for the crystal system: trigonal. The volume comes out at 53.457 A^3/atom. The value obtained for the offset from the most stable computed form is 0.0546 eV/atom. The energy relative to the elements is 0.12 eV per atom. Its total magnetization is 0.0 Bohr magnetons per cell.

Structure (CIF):
```
data_Ba6SrCa8
_chemical_formula_sum 'Ba18 Sr3 Ca24'
_space_group_name_H-M_alt 'R -3'
_space_group_IT_number 148
_space_group_name_Hall '-R 3'
_cell_length_a 10.5986
_cell_length_b 10.5986
_cell_length_c 24.7280
_cell_angle_alpha 90.00
_cell_angle_beta 90.00
_cell_angle_gamma 120.00
loop_
_atom_site_label
_atom_site_type_symbol
_atom_site_fract_x
_atom_site_fract_y
_atom_site_fract_z
Ba1 Ba 0.0072 0.2500 0.3846
Sr1 Sr 0.0000 0.0000 0.0000
Ca1 Ca 0.0000 0.0000 0.2444
Ca2 Ca 0.0162 0.2494 0.8763
```

(4)
This record from Alexandria via LeMat-Bulk describes an optimized crystal structure of Ce2GdSi. The functional is PBE.

Summary:
As for the crystal system: tetragonal. The value obtained for the uncorrected formation energy is -116 kJ/mol of formula units. The volume comes out at 24.119 A^3/atom. The value obtained for the offset from the most stable computed form is 0.0000 eV/atom. Its total magnetization is 6.2 Bohr magnetons per cell.

Structure (CIF):
```
data_Ce2GdSi
_chemical_formula_sum 'Ce2 Gd1 Si1'
_space_group_name_H-M_alt 'P 4/m m m'
_space_group_IT_number 123
_space_group_name_Hall '-P 4 2'
_cell_length_a 4.4587
_cell_length_b 4.4587
_cell_length_c 4.8529
_cell_angle_alpha 90.00
_cell_angle_beta 90.00
_cell_angle_gamma 90.00
loop_
_atom_site_label
_atom_site_type_symbol
_atom_site_fract_x
_atom_site_fract_y
_atom_site_fract_z
Ce1 Ce 0.0000 0.5000 0.0000
Gd1 Gd 0.0000 0.0000 0.5000
Si1 Si 0.5000 0.5000 0.5000
```

(5)
This record from Alexandria via LeMat-Bulk describes an optimized crystal structure of KCd6Hg4. The functional is PBE.

Summary:
As for the crystal system: hexagonal. The volume comes out at 26.394 A^3/atom. The energy relative to the elements is -0.07 eV per atom. Its total magnetization is 0.0 Bohr magnetons per cell.

Structure (CIF):
```
data_KCd6Hg4
_chemical_formula_sum 'K1 Cd6 Hg4'
_space_group_name_H-M_alt 'P -6 m 2'
_space_group_IT_number 187
_space_group_name_Hall 'P -6 2'
_cell_length_a 8.4731
_cell_length_b 8.4731
_cell_length_c 4.6697
_cell_angle_alpha 90.00
_cell_angle_beta 90.00
_cell_angle_gamma 120.00
loop_
_atom_site_label
_atom_site_type_symbol
_atom_site_fract_x
_atom_site_fract_y
_atom_site_fract_z
K1 K 0.0000 0.0000 0.0000
Cd1 Cd 0.2032 0.4064 0.5000
Cd2 Cd 0.5383 0.0765 0.0000
Hg1 Hg 0.3333 0.6667 0.0000
Hg2 Hg 0.3886 0.1943 0.5000
```

(6)
This record from Alexandria via LeMat-Bulk describes an optimized crystal structure of TbPm6Zn. The functional is PBE.

Summary:
As for the crystal system: monoclinic. The volume comes out at 31.918 A^3/atom. The energy relative to the elements is 0.05 eV per atom. Its total magnetization is 0.0 Bohr magnetons per cell.

Structure (CIF):
```
data_TbPm6Zn
_chemical_formula_sum 'Tb2 Pm12 Zn2'
_space_group_name_H-M_alt 'C 1 2/m 1'
_space_group_IT_number 12
_space_group_name_Hall '-C 2y'
_cell_length_a 8.5408
_cell_length_b 9.7706
_cell_length_c 6.2113
_cell_angle_alpha 90.00
_cell_angle_beta 99.85
_cell_angle_gamma 90.00
loop_
_atom_site_label
_atom_site_type_symbol
_atom_site_fract_x
_atom_site_fract_y
_atom_site_fract_z
Tb1 Tb 0.0000 0.0000 0.0000
Pm1 Pm 0.1573 0.3039 0.7292
Pm2 Pm 0.1688 0.5000 0.2268
Zn1 Zn 0.0000 0.0000 0.5000
```

(7)
This record from Alexandria via LeMat-Bulk describes an optimized crystal structure of Rb4NdNp3Se8. The functional is PBE.

Summary:
As for the crystal system: trigonal. The value obtained for the uncorrected formation energy is -2095 kJ/mol of formula units. The volume comes out at 32.382 A^3/atom. Its total magnetization is 36.0 Bohr magnetons per cell.

Structure (CIF):
```
data_Rb4NdNp3Se8
_chemical_formula_sum 'Rb12 Nd3 Np9 Se24'
_space_group_name_H-M_alt 'R -3 m'
_space_group_IT_number 166
_space_group_name_Hall '-R 3 2"'
_cell_length_a 8.6531
_cell_length_b 8.6531
_cell_length_c 23.9698
_cell_angle_alpha 90.00
_cell_angle_beta 90.00
_cell_angle_gamma 120.00
loop_
_atom_site_label
_atom_site_type_symbol
_atom_site_fract_x
_atom_site_fract_y
_atom_site_fract_z
Rb1 Rb 0.0000 0.0000 0.0000
Rb2 Rb 0.0000 0.5000 0.0000
Nd1 Nd 0.0000 0.0000 0.5000
Np1 Np 0.0000 0.5000 0.5000
Se1 Se 0.0000 0.0000 0.2310
Se2 Se 0.0045 0.5023 0.7673
```

(8)
This record from Alexandria via LeMat-Bulk describes an optimized crystal structure of ErGaH. The functional is PBE.

Summary:
As for the crystal system: trigonal. The volume comes out at 17.456 A^3/atom. The value obtained for the offset from the most stable computed form is 0.1019 eV/atom. Its total magnetization is 0.0 Bohr magnetons per cell.

Structure (CIF):
```
data_ErGaH
_chemical_formula_sum 'Er1 Ga1 H1'
_space_group_name_H-M_alt 'P 3 m 1'
_space_group_IT_number 156
_space_group_name_Hall 'P 3 -2"'
_cell_length_a 3.5854
_cell_length_b 3.5854
_cell_length_c 4.7039
_cell_angle_alpha 90.00
_cell_angle_beta 90.00
_cell_angle_gamma 120.00
loop_
_atom_site_label
_atom_site_type_symbol
_atom_site_fract_x
_atom_site_fract_y
_atom_site_fract_z
Er1 Er 0.0000 0.0000 0.0000
Ga1 Ga 0.6667 0.3333 0.5000
H1 H 0.3333 0.6667 0.0031
```

(9)
This record from Alexandria via LeMat-Bulk describes an optimized crystal structure of LiUAlIr. The functional is PBE.

Summary:
As for the crystal system: cubic. The volume comes out at 17.376 A^3/atom. The energy relative to the elements is -0.28 eV per atom. Its total magnetization is 7.1 Bohr magnetons per cell.

Structure (CIF):
```
data_LiUAlIr
_chemical_formula_sum 'Li4 U4 Al4 Ir4'
_space_group_name_H-M_alt 'F -4 3 m'
_space_group_IT_number 216
_space_group_name_Hall 'F -4 2 3'
_cell_length_a 6.5267
_cell_length_b 6.5267
_cell_length_c 6.5267
_cell_angle_alpha 90.00
_cell_angle_beta 90.00
_cell_angle_gamma 90.00
loop_
_atom_site_label
_atom_site_type_symbol
_atom_site_fract_x
_atom_site_fract_y
_atom_site_fract_z
Li1 Li 0.0000 0.0000 0.0000
U1 U 0.2500 0.2500 0.7500
Al1 Al 0.2500 0.2500 0.2500
Ir1 Ir 0.0000 0.0000 0.5000
```

(10)
This record from Alexandria via LeMat-Bulk describes an optimized crystal structure of CaDy2Mg3. The functional is PBE.

Summary:
As for the crystal system: tetragonal. The volume comes out at 28.485 A^3/atom. The energy relative to the elements is -0.08 eV per atom. Its total magnetization is 0.0 Bohr magnetons per cell.

Structure (CIF):
```
data_CaDy2Mg3
_chemical_formula_sum 'Ca1 Dy2 Mg3'
_space_group_name_H-M_alt 'P 4/m m m'
_space_group_IT_number 123
_space_group_name_Hall '-P 4 2'
_cell_length_a 3.8263
_cell_length_b 3.8263
_cell_length_c 11.6738
_cell_angle_alpha 90.00
_cell_angle_beta 90.00
_cell_angle_gamma 90.00
loop_
_atom_site_label
_atom_site_type_symbol
_atom_site_fract_x
_atom_site_fract_y
_atom_site_fract_z
Ca1 Ca 0.0000 0.0000 0.0000
Dy1 Dy 0.0000 0.0000 0.3435
Mg1 Mg 0.5000 0.5000 0.1802
Mg2 Mg 0.5000 0.5000 0.5000
```

(11)
This record from Alexandria via LeMat-Bulk describes an optimized crystal structure of Er3Ga8Ag3. The functional is PBE.

Summary:
As for the crystal system: orthorhombic. The volume comes out at 19.005 A^3/atom. The energy relative to the elements is -0.43 eV per atom. Its total magnetization is 0.0 Bohr magnetons per cell.

Structure (CIF):
```
data_Er3Ga8Ag3
_chemical_formula_sum 'Er6 Ga16 Ag6'
_space_group_name_H-M_alt 'I m m m'
_space_group_IT_number 71
_space_group_name_Hall '-I 2 2'
_cell_length_a 4.3045
_cell_length_b 9.5441
_cell_length_c 12.9526
_cell_angle_alpha 90.00
_cell_angle_beta 90.00
_cell_angle_gamma 90.00
loop_
_atom_site_label
_atom_site_type_symbol
_atom_site_fract_x
_atom_site_fract_y
_atom_site_fract_z
Er1 Er 0.0000 0.0000 0.0000
Er2 Er 0.0000 0.0000 0.3006
Ga1 Ga 0.0000 0.2822 0.1438
Ga2 Ga 0.0000 0.3697 0.3412
Ag1 Ag 0.0000 0.1962 0.5000
Ag2 Ag 0.0000 0.5000 0.0000
```

(12)
This record from Alexandria via LeMat-Bulk describes an optimized crystal structure of Ce2Co4P3Rh. The functional is PBE.

Summary:
As for the crystal system: tetragonal. The volume comes out at 14.512 A^3/atom. The energy relative to the elements is -0.85 eV per atom. Its total magnetization is 0.0 Bohr magnetons per cell.

Structure (CIF):
```
data_Ce2Co4P3Rh
_chemical_formula_sum 'Ce2 Co4 P3 Rh1'
_space_group_name_H-M_alt 'P -4 m 2'
_space_group_IT_number 115
_space_group_name_Hall 'P -4 -2'
_cell_length_a 3.7277
_cell_length_b 3.7277
_cell_length_c 10.4432
_cell_angle_alpha 90.00
_cell_angle_beta 90.00
_cell_angle_gamma 90.00
loop_
_atom_site_label
_atom_site_type_symbol
_atom_site_fract_x
_atom_site_fract_y
_atom_site_fract_z
Ce1 Ce 0.0000 0.5000 0.2414
Co1 Co 0.0000 0.0000 0.5000
Co2 Co 0.0000 0.5000 0.8295
Co3 Co 0.5000 0.5000 0.5000
P1 P 0.0000 0.0000 0.0000
P2 P 0.0000 0.5000 0.6197
Rh1 Rh 0.5000 0.5000 0.0000
```